No. 1
Ce2Y | PBE | optimized geometry

Cell: 6.343 6.343 6.343 Å, 60.00 60.00 60.00°
Element x y z (fractional)
Ce: 0.000 0.000 0.000
Ce: 0.000 0.000 0.500
Ce: 0.000 0.500 0.000
Ce: 0.500 0.000 0.000
Y: 0.375 0.375 0.375
Y: 0.625 0.625 0.625

The value obtained for the offset from the most stable computed form is 0.118 eV/atom. As for the formation energy: 0.202 eV/atom. Its space-group type is Fd-3m (227).

No. 2
Tm8ScSb6 | PBE | optimized geometry

Cell: 10.504 10.504 10.504 Å, 41.01 41.01 41.01°
Element x y z (fractional)
Tm: 0.039 0.383 0.719
Tm: 0.167 0.167 0.167
Tm: 0.281 0.961 0.617
Tm: 0.383 0.719 0.039
Tm: 0.617 0.281 0.961
Tm: 0.719 0.039 0.383
Tm: 0.833 0.833 0.833
Tm: 0.961 0.617 0.281
Sc: 0.500 0.500 0.500
Sb: 0.115 0.766 0.439
Sb: 0.234 0.561 0.885
Sb: 0.439 0.115 0.766
Sb: 0.561 0.885 0.234
Sb: 0.766 0.439 0.115
Sb: 0.885 0.234 0.561

Its energy relative to the elements, uncorrected is -0.6844 eV per atom. Its space-group type is R-3 (148).

| no. | M_tot (μB per formula unit) |
| --- | --- |
| 1 | 2.32 |
| 2 | 0.00 |